Entry 1:
Here is a geometry-optimized ZnSb2O4 structure from the Open Quantum Materials Database. Energies are from PBE.

The structure in extended XYZ format:
```
28
Lattice="8.450 0.000 0.000 0.000 8.450 0.000 0.000 0.000 5.983" Properties=species:S:1:pos:R:3 pbc="T T T"
O 5.010 1.238 0.000
O 0.785 2.988 0.000
O 7.665 5.463 0.000
O 3.440 7.213 0.000
O 2.717 1.508 1.496
O 6.942 2.717 1.496
O 1.508 5.733 1.496
O 5.733 6.942 1.496
O 5.463 0.785 2.992
O 1.238 3.440 2.992
O 7.213 5.010 2.992
O 2.988 7.665 2.992
O 2.717 1.508 4.488
O 6.942 2.717 4.488
O 1.508 5.733 4.488
O 5.733 6.942 4.488
Sb 6.980 1.370 0.000
Sb 2.755 2.855 0.000
Sb 5.696 5.595 0.000
Sb 1.470 7.080 0.000
Sb 1.370 1.470 2.992
Sb 5.595 2.755 2.992
Sb 2.855 5.696 2.992
Sb 7.080 6.980 2.992
Zn 4.225 0.000 1.496
Zn 0.000 4.225 1.496
Zn 4.225 0.000 4.488
Zn 0.000 4.225 4.488
```

The final energy is -38.717 eV/f.u. The calculated density is 5.8 g cm⁻³.

***

Entry 2:
Here is a geometry-optimized ZrSbO4 structure from the Open Quantum Materials Database. Energies are from PBE.

The structure in extended XYZ format:
```
12
Lattice="4.932 0.000 0.000 0.000 5.783 0.000 -0.058 0.000 5.341" Properties=species:S:1:pos:R:3 pbc="T T T"
O 3.569 2.322 0.392
O 3.819 5.227 0.410
O 1.084 5.227 2.261
O 1.333 2.322 2.279
O 3.541 3.462 3.062
O 3.790 0.557 3.080
O 1.055 0.557 4.932
O 1.304 3.462 4.950
Sb -0.014 1.022 1.335
Sb -0.043 4.761 4.006
Zr 2.451 3.921 1.335
Zr 2.422 1.863 4.006
```

The final energy is -45.844 eV/f.u. Its magnetic moment is 0.00 μB per formula unit. The calculated density is 6.0 g cm⁻³.

***

Entry 3:
Here is a geometry-optimized ZrSbO3 structure from the Open Quantum Materials Database. Energies are from PBE.

The structure in extended XYZ format:
```
20
Lattice="-5.103 -2.545 -2.546 3.711 -6.671 -0.768 -1.731 -1.539 5.008" Properties=species:S:1:pos:R:3 pbc="T T T"
O -4.261 -2.622 -1.374
O -2.751 -5.338 -1.687
O -0.254 -6.635 -1.075
O 2.031 -5.599 0.969
O -2.061 -1.661 0.913
O -0.550 -4.377 0.600
O -2.574 -6.379 1.094
O -1.063 -9.095 0.781
O -5.154 -5.157 0.725
O -2.869 -4.121 2.769
O -0.373 -5.418 3.381
O 1.138 -8.134 3.068
Sb 0.682 -1.823 -0.033
Sb -2.569 -3.718 0.718
Sb -0.554 -7.038 0.976
Sb -3.805 -8.933 1.727
Zr -2.551 -1.273 -1.273
Zr -0.696 -4.608 -1.657
Zr -0.866 -0.770 2.504
Zr 0.990 -4.105 2.120
```

The final energy is -37.599 eV/f.u. Its magnetic moment is 0.01 μB per formula unit. The calculated density is 6.6 g cm⁻³.

***

Entry 4:
Here is a geometry-optimized ZrSbO4 structure from the Open Quantum Materials Database. Energies are from PBE.

The structure in extended XYZ format:
```
12
Lattice="-3.440 3.440 3.299 3.440 -3.440 3.299 3.440 3.440 -3.299" Properties=species:S:1:pos:R:3 pbc="T T T"
O -2.110 3.440 3.295
O 1.350 0.000 3.307
O 3.440 -1.350 1.658
O 0.000 2.110 1.645
O 0.000 4.770 1.645
O 3.440 1.350 1.658
O 2.090 3.440 0.008
O 2.110 3.440 3.295
Sb 0.000 0.000 4.956
Sb 0.000 3.440 0.008
Zr 0.000 0.000 1.633
Zr 0.000 3.440 3.283
```

The final energy is -45.803 eV/f.u. Its magnetic moment is 0.00 μB per formula unit. The calculated density is 5.9 g cm⁻³.